*i*
Computed, not measured: an optimized crystal structure of CaLa2Zr at the PBE level of DFT.

Cell and atoms, written as CIF:
```
data_CaLa2Zr
_cell_length_a 8.114
_cell_length_b 8.114
_cell_length_c 8.114
_cell_angle_alpha 90.00
_cell_angle_beta 90.00
_cell_angle_gamma 90.00
_symmetry_space_group_name_H-M 'F -4 3 m'
_symmetry_Int_Tables_number 216
_symmetry_space_group_name_Hall 'F -4 2 3'
loop_
_atom_site_label
_atom_site_type_symbol
_atom_site_fract_x
_atom_site_fract_y
_atom_site_fract_z
Ca1 Ca 0.000 0.000 0.000
La1 La 0.000 0.000 0.500
La2 La 0.250 0.250 0.750
Zr1 Zr 0.250 0.250 0.250
```

***

*ii*
Computed, not measured: an optimized crystal structure of CaLa2Zr at the PBE level of DFT.

Cell and atoms, written as CIF:
```
data_CaLa2Zr
_cell_length_a 3.577
_cell_length_b 6.153
_cell_length_c 12.177
_cell_angle_alpha 90.00
_cell_angle_beta 90.00
_cell_angle_gamma 90.00
_symmetry_space_group_name_H-M 'I m m m'
_symmetry_Int_Tables_number 71
_symmetry_space_group_name_Hall '-I 2 2'
loop_
_atom_site_label
_atom_site_type_symbol
_atom_site_fract_x
_atom_site_fract_y
_atom_site_fract_z
Ca1 Ca 0.000 0.000 0.000
La1 La 0.000 0.500 0.219
Zr1 Zr 0.000 0.000 0.500
```

***

Which structure loses on stability? *i* does.

***

*i*
Computed, not measured: an optimized crystal structure of CaLa2Zr at the PBE level of DFT.

Cell and atoms, written as CIF:
```
data_CaLa2Zr
_cell_length_a 5.026
_cell_length_b 5.026
_cell_length_c 10.309
_cell_angle_alpha 90.00
_cell_angle_beta 90.00
_cell_angle_gamma 90.00
_symmetry_space_group_name_H-M 'I -4 m 2'
_symmetry_Int_Tables_number 119
_symmetry_space_group_name_Hall 'I -4 -2'
loop_
_atom_site_label
_atom_site_type_symbol
_atom_site_fract_x
_atom_site_fract_y
_atom_site_fract_z
Ca1 Ca 0.000 0.000 0.000
La1 La 0.000 0.000 0.500
La2 La 0.000 0.500 0.750
Zr1 Zr 0.000 0.500 0.250
```

***

*ii*
Computed, not measured: an optimized crystal structure of CaLa2Zr at the PBE level of DFT.

Cell and atoms, written as CIF:
```
data_CaLa2Zr
_cell_length_a 5.241
_cell_length_b 5.241
_cell_length_c 4.735
_cell_angle_alpha 90.00
_cell_angle_beta 90.00
_cell_angle_gamma 90.00
_symmetry_space_group_name_H-M 'P 4/m m m'
_symmetry_Int_Tables_number 123
_symmetry_space_group_name_Hall '-P 4 2'
loop_
_atom_site_label
_atom_site_type_symbol
_atom_site_fract_x
_atom_site_fract_y
_atom_site_fract_z
Ca1 Ca 0.000 0.000 0.000
La1 La 0.000 0.500 0.500
Zr1 Zr 0.500 0.500 0.000
```

***

Which structure loses on stability? *i* does.